GGA+U CuNiF2, relaxed; symmetry = No. 166; E_tot = -0.2526 Ry/atom; size of the total moment = 1.036 μB per formula unit; calculated density = 5.3 g/cm³
1.0
4.2131 -5.2788 0.7037
5.2883 -3.9065 -1.6981
6.0304 -2.9529 1.0125
F Ni Cu
2 1 1
Direct
0.0993 0.0993 0.0993 F
0.9007 0.9007 0.9007 F
0.0000 0.0000 0.0000 Ni
0.5000 0.5000 0.5000 Cu